Version one
12
Lattice="7.4426 -0.2095 0.0000 -3.8279 6.1243 0.0000 0.0000 0.0000 12.7919" Properties=species:S:1:pos:R:3 comment="TaBr4Cl, optimized geometry, DFT PBE" vol_a3_per_atom=47.73 dos_ef_per_ev_atom=0.000 magnetic_moment_mub_per_fu=0.00 pbc="T T T"
Ta 3.3018 5.4001 0.1374
Ta 5.2158 2.3379 6.2585
Br -0.3246 2.4256 7.8715
Br 1.4570 5.4582 1.8189
Br -0.6255 2.9180 4.4494
Br 6.1976 1.1915 11.7655
Br 3.3709 2.3960 4.5770
Br -2.2385 5.4878 11.3164
Br 4.2836 4.2537 7.4224
Br -2.5394 5.9802 1.9465
Cl 2.6453 3.3084 12.2952
Cl 4.5592 0.2462 6.8927

Version two
6
Lattice="-5.0469 -0.3334 3.2121 -2.3706 4.9621 2.3785 -5.1053 2.2336 -2.2015" Properties=species:S:1:pos:R:3 comment="TaBr4Cl, optimized geometry, DFT PBE" vol_a3_per_atom=25.35 dos_ef_per_ev_atom=1.391 magnetic_moment_mub_per_fu=2.40 pbc="T T T"
Ta 0.0000 0.0000 0.0000
Br -7.2243 2.4016 2.8829
Br -7.2536 3.6915 0.1626
Br -5.8794 5.0626 2.4640
Br -4.6882 2.5691 1.2688
Cl -9.3921 5.1468 2.5419

Verdict on stability: version two comes out at the bottom.

Version one
4
Lattice="-4.5780 -8.4905 2.7235 -1.9480 -8.6663 4.6438 -4.5538 -6.9545 5.6001" Properties=species:S:1:pos:R:3 comment="TcBrCl2, optimized geometry, DFT PBE" vol_a3_per_atom=22.67 dos_ef_per_ev_atom=1.090 magnetic_moment_mub_per_fu=0.00 pbc="T T T"
Tc -2.7700 -6.0278 3.2418
Br -8.3099 -18.0835 9.7255
Cl -10.7424 -23.3772 12.5725
Cl -5.8773 -12.7898 6.8785

Version two
4
Lattice="-1.7974 3.0387 -0.1031 -0.2412 0.1015 7.1951 3.7290 2.3982 5.6737" Properties=species:S:1:pos:R:3 comment="TcBrCl2, optimized geometry, DFT PBE" vol_a3_per_atom=28.94 dos_ef_per_ev_atom=0.322 magnetic_moment_mub_per_fu=2.34 pbc="T T T"
Tc 1.7443 1.2501 6.4361
Br 1.3140 3.1052 8.1131
Cl 3.4507 2.4731 12.7320
Cl 0.4132 2.4595 4.7876

Verdict on stability: version one comes out at the bottom.

Version one
8
Lattice="7.0067 0.0000 0.0000 0.0000 7.0067 0.0000 3.5033 3.5033 4.4711" Properties=species:S:1:pos:R:3 comment="TcBrCl2, optimized geometry, DFT PBE" vol_a3_per_atom=27.44 dos_ef_per_ev_atom=1.378 magnetic_moment_mub_per_fu=0.00 pbc="T T T"
Tc 0.0000 0.0000 0.0000
Tc 7.0067 3.5033 2.2356
Br 3.5033 3.5033 0.0000
Br 3.5033 7.0067 2.2356
Cl 6.1225 1.7517 1.1178
Cl 0.8842 5.2550 1.1178
Cl 5.2550 4.3876 3.3534
Cl 8.7583 9.6258 3.3534

Version two
4
Lattice="4.6012 0.7492 0.0000 -0.7499 4.6011 0.0000 0.0000 0.0000 4.1837" Properties=species:S:1:pos:R:3 comment="TcBrCl2, optimized geometry, DFT PBE" vol_a3_per_atom=22.73 dos_ef_per_ev_atom=0.946 magnetic_moment_mub_per_fu=4.66 pbc="T T T"
Tc 2.3006 0.3746 2.0919
Br -0.3749 2.3005 2.0919
Cl 0.0000 0.0000 0.0000
Cl 1.9257 2.6751 0.0000

Verdict on stability: version two comes out at the bottom.

Version one
4
Lattice="-0.4801 2.6492 3.1894 2.2791 -2.2975 2.2515 3.9728 2.9098 -1.8188" Properties=species:S:1:pos:R:3 comment="Tc2BrCl, optimized geometry, DFT PBE" vol_a3_per_atom=21.52 dos_ef_per_ev_atom=0.877 magnetic_moment_mub_per_fu=0.00 pbc="T T T"
Tc 3.6428 2.4467 -1.4839
Tc 3.4560 0.7692 -0.1186
Br 1.3229 1.4776 1.7029
Cl 4.4489 1.7838 1.9192

Version two
4
Lattice="-0.6729 0.6670 2.8230 2.8576 -1.0663 0.9331 3.3874 8.1264 -1.1128" Properties=species:S:1:pos:R:3 comment="Tc2BrCl, optimized geometry, DFT PBE" vol_a3_per_atom=21.07 dos_ef_per_ev_atom=1.109 magnetic_moment_mub_per_fu=0.00 pbc="T T T"
Tc 2.6253 -0.6294 0.7745
Tc 1.4240 1.5875 1.5348
Br 2.5455 3.1293 -0.1327
Cl 4.9573 6.1035 1.3100

Verdict on stability: version one comes out at the bottom.

Version one
4
Lattice="-2.4976 -1.2395 3.4537 -3.0477 2.7764 1.6448 -4.3182 -0.8508 -0.5758" Properties=species:S:1:pos:R:3 comment="Tc2BrCl, optimized geometry, DFT PBE" vol_a3_per_atom=15.46 dos_ef_per_ev_atom=0.825 magnetic_moment_mub_per_fu=0.00 pbc="T T T"
Tc -2.4659 0.1715 1.1307
Tc -7.3976 0.5146 3.3920
Br -4.9317 0.3431 2.2614
Cl 0.0000 0.0000 0.0000

Version two
4
Lattice="-5.8036 -5.5574 -4.3682 -1.9934 -5.7359 -6.8391 4.7536 3.8958 6.7730" Properties=species:S:1:pos:R:3 comment="Tc2BrCl, optimized geometry, DFT PBE" vol_a3_per_atom=22.82 dos_ef_per_ev_atom=0.346 magnetic_moment_mub_per_fu=0.00 pbc="T T T"
Tc -7.1545 -10.3627 -10.2838
Tc -3.0870 -4.5415 -2.4801
Br -4.0234 -5.8275 -5.7832
Cl -0.4740 -3.6056 -2.6982

Version three
4
Lattice="2.9479 0.0000 0.0000 0.0000 5.4674 0.0000 0.0000 0.0000 4.3269" Properties=species:S:1:pos:R:3 comment="Tc2BrCl, optimized geometry, DFT PBE" vol_a3_per_atom=17.43 dos_ef_per_ev_atom=1.205 magnetic_moment_mub_per_fu=2.82 pbc="T T T"
Tc 0.0000 0.0000 0.0000
Tc 1.4740 2.7337 0.0000
Br 1.4740 0.0000 2.1634
Cl 0.0000 2.7337 2.1634

Verdict on stability: version one comes out at the bottom.

Version one
8
Lattice="-5.0575 1.2857 1.2199 -1.7568 -4.1238 -2.9372 -3.1584 -4.7899 3.7253" Properties=species:S:1:pos:R:3 comment="Tc2BrCl, optimized geometry, DFT PBE" vol_a3_per_atom=20.45 dos_ef_per_ev_atom=0.740 magnetic_moment_mub_per_fu=0.00 pbc="T T T"
Tc -3.9064 -0.9765 1.2630
Tc -2.7835 -3.5471 -0.6883
Tc -5.0157 -4.8718 1.9968
Tc -8.2397 -5.8608 1.4445
Br 0.0000 0.0000 0.0000
Br -5.8115 -2.4617 2.0433
Cl -3.4072 -1.4191 -0.8586
Cl -4.1612 -5.1664 -0.0353

Version two
4
Lattice="-3.1355 -0.0510 0.2343 0.2396 -0.7826 3.0363 0.0180 6.0550 1.5593" Properties=species:S:1:pos:R:3 comment="Tc2BrCl, optimized geometry, DFT PBE" vol_a3_per_atom=15.46 dos_ef_per_ev_atom=1.311 magnetic_moment_mub_per_fu=0.00 pbc="T T T"
Tc 0.0178 5.9660 1.5364
Tc 0.0093 3.1165 0.8026
Br -1.4434 1.0969 2.0251
Cl -1.4344 4.1244 2.8048

Version three
4
Lattice="4.6276 0.0000 0.0000 2.3138 4.0076 0.0000 2.3138 1.3359 3.7784" Properties=species:S:1:pos:R:3 comment="Tc2BrCl, optimized geometry, DFT PBE" vol_a3_per_atom=17.52 dos_ef_per_ev_atom=0.850 magnetic_moment_mub_per_fu=0.19 pbc="T T T"
Tc 0.0000 0.0000 0.0000
Tc 6.9413 4.0076 2.8338
Br 4.6276 2.6717 1.8892
Cl 2.3138 1.3359 0.9446

Verdict on stability: version two comes out at the bottom.

Version one
4
Lattice="-0.7725 3.2074 0.9080 -6.1847 -1.0809 -1.4436 -0.8127 -1.4991 4.6042" Properties=species:S:1:pos:R:3 comment="Te2BrCl, optimized geometry, DFT PBE" vol_a3_per_atom=27.06 dos_ef_per_ev_atom=0.760 magnetic_moment_mub_per_fu=0.00 pbc="T T T"
Te 0.0000 0.0000 0.0000
Te -3.4786 1.0633 -0.2678
Br -0.7926 0.8541 2.7561
Cl -3.4987 -1.2900 1.5803

Version two
4
Lattice="-0.5095 10.0311 3.3502 -2.1164 8.4619 6.0020 1.3528 8.6578 5.9430" Properties=species:S:1:pos:R:3 comment="Te2BrCl, optimized geometry, DFT PBE" vol_a3_per_atom=27.18 dos_ef_per_ev_atom=0.655 magnetic_moment_mub_per_fu=0.00 pbc="T T T"
Te -1.1603 24.7449 13.9398
Te -0.1128 2.4059 1.3553
Br 0.0000 0.0000 0.0000
Cl -0.6365 13.5754 7.6476

Version three
4
Lattice="-3.5875 -2.9554 -3.3832 1.1684 -2.9882 4.7704 -2.5816 1.4035 1.5114" Properties=species:S:1:pos:R:3 comment="Te2BrCl, optimized geometry, DFT PBE" vol_a3_per_atom=25.60 dos_ef_per_ev_atom=0.957 magnetic_moment_mub_per_fu=0.00 pbc="T T T"
Te 0.0000 0.0000 0.0000
Te -1.2095 -2.9718 0.6936
Br -3.0845 -0.7760 -0.9359
Cl -0.7066 -0.7923 3.1409

Verdict on stability: version three comes out at the bottom.

Version one
4
Lattice="-0.0950 -1.8523 -3.9438 -1.7639 -3.9036 -0.8026 -8.5286 2.1970 -3.0965" Properties=species:S:1:pos:R:3 comment="Te2BrCl, optimized geometry, DFT PBE" vol_a3_per_atom=35.68 magnetic_moment_mub_per_fu=0.00 pbc="T T T"
Te -1.9065 -5.3395 -4.4997
Te -2.3305 -0.8155 -1.7707
Br -4.7766 -2.2971 -4.0379
Cl -8.4264 -2.6420 -6.2022

Version two
4
Lattice="3.2151 0.0000 0.0000 0.0000 4.8268 0.0000 0.0000 0.0000 7.4435" Properties=species:S:1:pos:R:3 comment="Te2BrCl, optimized geometry, DFT PBE" vol_a3_per_atom=28.88 dos_ef_per_ev_atom=1.037 magnetic_moment_mub_per_fu=0.00 pbc="T T T"
Te 0.0000 0.0000 6.9675
Te 0.0000 0.0000 4.1978
Br 1.6076 2.4134 1.8609
Cl 1.6076 2.4134 5.5826

Version three
4
Lattice="6.4026 0.0301 -0.0749 4.6561 4.3949 -0.0749 -1.7660 -0.7066 4.4393" Properties=species:S:1:pos:R:3 comment="Te2BrCl, optimized geometry, DFT PBE" vol_a3_per_atom=30.91 dos_ef_per_ev_atom=0.442 magnetic_moment_mub_per_fu=0.00 pbc="T T T"
Te 9.2584 3.7046 4.2733
Te 4.6806 1.8729 2.1611
Br 2.3232 0.9296 1.0724
Cl 6.9695 2.7887 3.2172

Verdict on stability: version two comes out at the bottom.

Version one
4
Lattice="6.3828 -0.0450 0.0201 2.6807 5.7928 -0.0201 -3.8367 -3.9699 3.2035" Properties=species:S:1:pos:R:3 comment="Te2BrCl, optimized geometry, DFT PBE" vol_a3_per_atom=29.64 dos_ef_per_ev_atom=1.013 magnetic_moment_mub_per_fu=0.00 pbc="T T T"
Te 8.8886 5.6368 0.0000
Te 3.8970 -0.3435 1.6118
Br 4.7932 3.0396 0.0000
Cl 1.2434 2.0665 1.5917

Version two
4
Lattice="-1.1737 4.7572 -1.6197 -0.5352 -2.6713 4.3829 8.5732 3.1188 2.9479" Properties=species:S:1:pos:R:3 comment="Te2BrCl, optimized geometry, DFT PBE" vol_a3_per_atom=44.29 dos_ef_per_ev_atom=0.908 magnetic_moment_mub_per_fu=0.00 pbc="T T T"
Te 0.1195 0.0435 0.0411
Te 1.0891 1.7500 2.0499
Br 3.9758 1.4464 1.3671
Cl 5.9665 3.5243 3.7269

Version three
4
Lattice="4.2143 0.0000 0.0000 0.0000 6.0680 -0.1429 0.0000 -0.0682 6.2077" Properties=species:S:1:pos:R:3 comment="Te2BrCl, optimized geometry, DFT PBE" vol_a3_per_atom=39.68 dos_ef_per_ev_atom=0.149 magnetic_moment_mub_per_fu=0.00 pbc="T T T"
Te 0.0000 0.5476 5.5178
Te 0.0000 2.3840 3.7222
Br 2.1072 1.4999 1.5162
Cl 2.1072 4.4998 4.5485

Verdict on stability: version two comes out at the bottom.

Version one
8
Lattice="-6.5857 3.3601 4.2151 -4.8923 -0.9315 -6.9012 -6.5998 -1.7383 -0.3343" Properties=species:S:1:pos:R:3 comment="Te2BrCl, optimized geometry, DFT PBE" vol_a3_per_atom=29.30 dos_ef_per_ev_atom=1.097 magnetic_moment_mub_per_fu=0.00 pbc="T T T"
Te -6.3898 1.5553 1.6961
Te -5.5186 -0.6030 -3.8778
Te -9.2450 -0.3913 -1.2452
Te -15.0022 0.8195 -2.6139
Br 0.0000 0.0000 0.0000
Br -9.4623 1.4180 1.2689
Cl -5.7390 1.2143 -1.3430
Cl -8.6156 -0.7278 -4.2893

Version two
4
Lattice="5.6282 0.0000 0.0000 0.0000 5.6282 0.0000 0.0000 0.0000 3.3158" Properties=species:S:1:pos:R:3 comment="Te2BrCl, optimized geometry, DFT PBE" vol_a3_per_atom=26.26 dos_ef_per_ev_atom=0.936 magnetic_moment_mub_per_fu=0.00 pbc="T T T"
Te 0.0000 0.0000 0.0000
Te 2.8141 2.8141 0.0000
Br 2.8141 0.0000 1.6579
Cl 0.0000 2.8141 1.6579

Version three
4
Lattice="-0.7599 1.7325 3.1531 -1.4092 -3.2502 -0.9855 7.4912 -4.5542 4.3078" Properties=species:S:1:pos:R:3 comment="Te2BrCl, optimized geometry, DFT PBE" vol_a3_per_atom=27.20 dos_ef_per_ev_atom=0.757 magnetic_moment_mub_per_fu=0.00 pbc="T T T"
Te 7.4623 -4.5366 4.2912
Te 3.7745 -2.2947 2.1705
Br 0.7882 -1.8974 2.1608
Cl 4.5338 -4.1745 4.3147

Verdict on stability: version two comes out at the bottom.

Version one
4
Lattice="2.0130 0.0000 10.3670 -1.0065 1.7433 10.3670 -1.0065 -1.7433 10.3670" Properties=species:S:1:pos:R:3 comment="Te2BrCl, optimized geometry, DFT PBE" vol_a3_per_atom=27.29 dos_ef_per_ev_atom=0.625 magnetic_moment_mub_per_fu=0.00 pbc="T T T"
Te 0.0000 0.0000 28.4578
Te 0.0000 0.0000 2.6433
Br 0.0000 0.0000 15.5505
Cl 0.0000 0.0000 0.0000

Version two
4
Lattice="6.0855 0.0081 -0.0241 1.6822 5.8484 0.0241 -2.6558 -4.5570 3.0355" Properties=species:S:1:pos:R:3 comment="Te2BrCl, optimized geometry, DFT PBE" vol_a3_per_atom=27.12 dos_ef_per_ev_atom=0.738 magnetic_moment_mub_per_fu=0.00 pbc="T T T"
Te 0.0033 0.0025 0.0000
Te 3.8805 2.9257 0.0000
Br 3.6568 -0.8103 1.5057
Cl 1.4551 2.1098 1.5298

Verdict on stability: version two comes out at the bottom.